Below is LiZr2TiH after structural relaxation, with properties calculated at the PBE level.

a = 4.430 Å, b = 4.430 Å, c = 4.020 Å
α = 90.00°, β = 90.00°, γ = 90.00°
Element x y z (fractional)
1 H 0.000 0.000 0.000
2 Ti 0.500 0.500 0.500
3 Zr 0.000 0.500 0.000
4 Zr 0.500 0.000 0.000
5 Li 0.000 0.000 0.500

Properties
- M_tot (Bohr magnetons per cell) = 0.0
- DFT total energy (Ry per atom) = -0.4463

=====

Below is LiAl3S after structural relaxation, with properties calculated at the PBE level.

a = 4.841 Å, b = 4.841 Å, c = 4.841 Å
α = 90.00°, β = 90.00°, γ = 90.00°
Element x y z (fractional)
1 Li 0.500 0.500 0.500
2 S 0.000 0.000 0.000
3 Al 0.500 0.000 0.000
4 Al 0.000 0.000 0.500
5 Al 0.000 0.500 0.000

Properties
- formation energy (no corrections) (eV/atom) = 0.360
- M_tot (Bohr magnetons per cell) = 0.0
- DFT total energy (Ry per atom) = -0.2274

=====

Below is KGa2Sn after structural relaxation, with properties calculated at the PBE level.

a = 5.264 Å, b = 5.264 Å, c = 10.494 Å
α = 75.47°, β = 75.47°, γ = 90.00°
Element x y z (fractional)
1 Ga 0.875 0.125 0.250
2 Ga 0.875 0.625 0.250
3 Ga 0.875 0.125 0.750
4 Ga 0.375 0.125 0.750
5 K 0.250 0.750 0.500
6 K 0.500 0.500 0.000
7 Sn 0.000 0.000 0.000
8 Sn 0.750 0.250 0.500

Properties
- formation energy (meV per atom) = 40
- M_tot (Bohr magnetons per cell) = 0.0
- DFT total energy (Ry per atom) = -0.2020

=====

Below is LiCdAg2Au after structural relaxation, with properties calculated at the PBE level.

a = 4.624 Å, b = 5.208 Å, c = 9.001 Å
α = 90.00°, β = 90.00°, γ = 116.36°
Element x y z (fractional)
1 Ag 0.313 0.626 0.565
2 Ag 0.313 0.626 0.935
3 Ag 0.687 0.374 0.435
4 Ag 0.687 0.374 0.065
5 Li 0.452 0.903 0.250
6 Li 0.548 0.097 0.750
7 Cd 0.000 0.000 0.500
8 Cd 0.000 0.000 0.000
9 Au 0.830 0.660 0.750
10 Au 0.170 0.340 0.250

Properties
- formation energy (meV per atom) = -163
- M_tot (Bohr magnetons per cell) = 0.0
- DFT total energy (Ry per atom) = -0.1856